(1)
Here is an optimized crystal structure of LiTcNO from OQMD. Energies are from PBE-GGA.

Properties
Calculated density ... 4.85 g/cm3
Relative energy among the computed polymorphs ... 0.821 eV/f.u.

Cell and atoms, written as CIF:
```
data_LiTcNO
_cell_length_a 5.453
_cell_length_b 6.904
_cell_length_c 4.909
_cell_angle_alpha 90.00
_cell_angle_beta 90.00
_cell_angle_gamma 90.00
_space_group_name_H-M_alt 'P c a 21'
_space_group_IT_number 29
_space_group_name_Hall 'P 2c -2ac'
loop_
_atom_site_label
_atom_site_type_symbol
_atom_site_fract_x
_atom_site_fract_y
_atom_site_fract_z
Li1 Li 0.114 0.143 0.000
Tc1 Tc 0.140 0.665 0.017
N1 N 0.016 0.126 0.582
O1 O 0.007 0.593 0.627
```

(2)
Here is an optimized crystal structure of LiTmNO from OQMD. Energies are from PBE-GGA.

Properties
Calculated density ... 6.67 g/cm3
Relative energy among the computed polymorphs ... 0.751 eV/f.u.

Cell and atoms, written as CIF:
```
data_LiTmNO
_cell_length_a 5.990
_cell_length_b 7.323
_cell_length_c 4.673
_cell_angle_alpha 90.00
_cell_angle_beta 90.00
_cell_angle_gamma 90.00
_space_group_name_H-M_alt 'P c a 21'
_space_group_IT_number 29
_space_group_name_Hall 'P 2c -2ac'
loop_
_atom_site_label
_atom_site_type_symbol
_atom_site_fract_x
_atom_site_fract_y
_atom_site_fract_z
Li1 Li 0.084 0.093 0.000
Tm1 Tm 0.047 0.661 0.012
N1 N 0.081 0.630 0.512
O1 O 0.113 0.096 0.591
```

(3)
Here is an optimized crystal structure of LiTmNO from OQMD. Energies are from PBE-GGA.

Properties
Calculated density ... 6.32 g/cm3
Relative energy among the computed polymorphs ... 0.199 eV/f.u.

Cell and atoms, written as CIF:
```
data_LiTmNO
_cell_length_a 3.728
_cell_length_b 6.492
_cell_length_c 4.467
_cell_angle_alpha 90.00
_cell_angle_beta 90.00
_cell_angle_gamma 90.00
_space_group_name_H-M_alt 'P m c 21'
_space_group_IT_number 26
_space_group_name_Hall 'P 2c -2'
loop_
_atom_site_label
_atom_site_type_symbol
_atom_site_fract_x
_atom_site_fract_y
_atom_site_fract_z
Li1 Li 0.000 0.150 0.000
Tm1 Tm 0.500 0.302 0.494
N1 N 0.500 0.349 0.994
O1 O 0.000 0.147 0.488
```

(4)
Here is an optimized crystal structure of LiTmNO from OQMD. Energies are from PBE-GGA.

Properties
Calculated density ... 8.17 g/cm3
Relative energy among the computed polymorphs ... 0.000 eV/f.u.

Cell and atoms, written as CIF:
```
data_LiTmNO
_cell_length_a 6.425
_cell_length_b 5.765
_cell_length_c 4.516
_cell_angle_alpha 90.00
_cell_angle_beta 90.00
_cell_angle_gamma 90.00
_space_group_name_H-M_alt 'P b c m'
_space_group_IT_number 57
_space_group_name_Hall '-P 2c 2b'
loop_
_atom_site_label
_atom_site_type_symbol
_atom_site_fract_x
_atom_site_fract_y
_atom_site_fract_z
Li1 Li 0.099 0.028 0.250
Tm1 Tm 0.300 0.019 0.750
N1 N 0.062 0.750 0.000
O1 O 0.383 0.100 0.250
```